This record from Alexandria describes crystalline Dy2AlCrO6 at its relaxed geometry. The functional is PBE with a Hubbard U.

a b c (Å): 5.3167 5.3167 3.9983
angles (deg): 90.00 90.00 90.00
Fractional coordinates of all 10 atoms:
Dy 0.0000 0.5000 0.0000
Dy 0.5000 0.0000 0.0000
Al 0.0000 0.0000 0.5780
Cr 0.5000 0.5000 0.5955
O 0.0000 0.0000 0.1202
O 0.2430 0.2430 0.6448
O 0.2430 0.7570 0.6448
O 0.5000 0.5000 0.1061
O 0.7570 0.2430 0.6448
O 0.7570 0.7570 0.6448

Crystal system: tetragonal
Total energy, eV/cell: -79.0
Magnetization, μB per atom: 0.3000